This record from Alexandria via LeMat-Bulk describes a relaxed CsPtAu crystal. The functional is PBE-GGA. Values from VASP.

Quantum ESPRESSO input file:
```
&SYSTEM
  ibrav = 0, nat = 3, ntyp = 3
/
ATOMIC_SPECIES
Au 196.97 Au.upf
Pt 195.08 Pt.upf
Cs 132.91 Cs.upf
CELL_PARAMETERS angstrom
-1.965 -2.213 3.365
4.450 0.528 -0.038
-0.542 4.773 2.823
ATOMIC_POSITIONS angstrom
Au -0.098 1.087 3.642
Pt 2.041 2.000 2.508
Cs 0.000 0.000 0.000
```

Calculated values
- DOS at the Fermi energy: 0.01 states/eV per atom
- SG: No. 187
- Energy relative to the lowest polymorph listed for this composition: 0.09 eV per formula unit
- Crystal system: hexagonal
- Formation energy from the elements: -0.03 eV/atom
- Volume: 32.30 Å³/atom

This record from Alexandria via LeMat-Bulk describes a relaxed Li7Sn2Hg2 crystal. The functional is PBE-GGA. Values from VASP.

Quantum ESPRESSO input file:
```
&SYSTEM
  ibrav = 0, nat = 11, ntyp = 3
/
ATOMIC_SPECIES
Li 6.94 Li.upf
Hg 200.59 Hg.upf
Sn 118.71 Sn.upf
CELL_PARAMETERS angstrom
-4.840 3.007 -2.411
-3.579 -1.241 5.638
3.484 4.062 3.106
ATOMIC_POSITIONS angstrom
Li 0.668 1.659 3.244
Li -5.604 4.169 3.089
Li -1.607 3.213 1.810
Li -3.329 2.615 4.523
Hg -2.474 2.519 7.167
Li -4.926 0.635 2.741
Li -0.010 5.193 3.592
Sn -2.883 5.077 3.379
Hg -2.461 3.309 -0.834
Sn -2.053 0.751 2.954
Li 0.000 0.000 0.000
```

Calculated values
- DOS at the Fermi energy: 0.41 states/eV per atom
- SG: No. 65
- Crystal system: orthorhombic
- Formation energy from the elements: -0.17 eV/atom
- Volume: 22.42 Å³/atom

This record from Alexandria via LeMat-Bulk describes a relaxed Ba6Pt2Au crystal. The functional is PBE-GGA. Values from VASP.

Quantum ESPRESSO input file:
```
&SYSTEM
  ibrav = 0, nat = 9, ntyp = 3
/
ATOMIC_SPECIES
Pt 195.08 Pt.upf
Au 196.97 Au.upf
Ba 137.33 Ba.upf
CELL_PARAMETERS angstrom
7.564 0.000 0.000
0.000 7.023 -4.055
0.000 0.000 8.110
ATOMIC_POSITIONS angstrom
Pt 3.782 2.341 4.055
Au 3.782 0.000 0.000
Ba 5.501 4.591 2.650
Ba 2.063 4.591 5.460
Ba 5.501 2.433 -1.405
Ba 5.501 7.023 -1.246
Ba 2.063 0.000 5.301
Ba 2.063 2.433 1.405
Pt 3.782 4.682 0.000
```

Calculated values
- DOS at the Fermi energy: 0.57 states/eV per atom
- SG: No. 162
- Crystal system: trigonal
- Formation energy from the elements: -0.61 eV/atom
- Volume: 47.87 Å³/atom

This record from Alexandria via LeMat-Bulk describes a relaxed BaLiAsN2 crystal. The functional is PBE-GGA. Values from VASP.

Quantum ESPRESSO input file:
```
&SYSTEM
  ibrav = 0, nat = 5, ntyp = 4
/
ATOMIC_SPECIES
Li 6.94 Li.upf
As 74.92 As.upf
N 14.01 N.upf
Ba 137.33 Ba.upf
CELL_PARAMETERS angstrom
5.150 0.000 0.000
0.000 6.347 0.000
0.000 0.000 5.150
ATOMIC_POSITIONS angstrom
Li 2.575 3.173 2.575
As 0.000 3.173 0.000
N 0.000 0.000 2.575
N 2.575 0.000 0.000
Ba 0.000 0.000 0.000
```

Calculated values
- DOS at the Fermi energy: 0.76 states/eV per atom
- SG: No. 123
- Crystal system: tetragonal
- Formation energy from raw total energies: 1.510 eV per atom
- Volume: 33.67 Å³/atom

This record from Alexandria via LeMat-Bulk describes a relaxed NaYMg crystal. The functional is PBE-GGA. Values from VASP.

Quantum ESPRESSO input file:
```
&SYSTEM
  ibrav = 0, nat = 6, ntyp = 3
/
ATOMIC_SPECIES
Y 88.91 Y.upf
Mg 24.30 Mg.upf
Na 22.99 Na.upf
CELL_PARAMETERS angstrom
3.474 0.008 0.321
1.742 3.006 0.321
1.746 1.009 17.667
ATOMIC_POSITIONS angstrom
Y 4.331 2.502 8.002
Mg 2.364 1.365 10.453
Na 1.546 0.893 1.245
Y 1.877 1.084 15.579
Na 2.921 1.687 4.667
Mg 3.851 2.225 13.131
```

Calculated values
- DOS at the Fermi energy: 1.02 states/eV per atom
- SG: No. 12
- Energy relative to the lowest polymorph listed for this composition: 0.00 eV per formula unit
- Crystal system: monoclinic
- Formation energy from the elements: 0.11 eV/atom
- Volume: 30.34 Å³/atom

This record from Alexandria via LeMat-Bulk describes a relaxed DyYSnRh crystal. The functional is PBE-GGA. Values from VASP.

Quantum ESPRESSO input file:
```
&SYSTEM
  ibrav = 0, nat = 4, ntyp = 4
/
ATOMIC_SPECIES
Dy 162.50 Dy.upf
Rh 102.91 Rh.upf
Y 88.91 Y.upf
Sn 118.71 Sn.upf
CELL_PARAMETERS angstrom
5.105 0.000 0.000
2.553 4.421 0.000
2.553 1.474 4.168
ATOMIC_POSITIONS angstrom
Dy 0.000 0.000 0.000
Rh 2.553 1.474 1.042
Y 5.105 2.947 2.084
Sn 7.658 4.421 3.126
```

Calculated values
- DOS at the Fermi energy: 0.58 states/eV per atom
- SG: No. 216
- Crystal system: cubic
- Formation energy from the elements: -0.67 eV/atom
- Volume: 23.52 Å³/atom